DFT (PBE) results for Rb2Hg2Pd after structural relaxation.

a b c (Å): 6.808 7.599 9.161
angles (deg): 114.50 111.82 90.00
Fractional coordinates of all 10 atoms:
Pd (0.250, 0.500, 0.000)
Pd (0.750, 0.500, 0.000)
Rb (0.855, 0.650, 0.711)
Rb (0.355, 0.060, 0.711)
Rb (0.145, 0.350, 0.289)
Rb (0.645, 0.940, 0.289)
Hg (0.606, 0.400, 0.212)
Hg (0.394, 0.600, 0.788)
Hg (0.894, 0.188, 0.788)
Hg (0.106, 0.812, 0.212)

Calculated values
E above lowest polymorph: 0.0076 eV/atom
size of the total moment: 0.00 μB per cell
theoretical density: 5.725 g/cm³
energy relative to the elements: -169 meV/atom